Ba4LaMo3O12 after structural relaxation, computed with GGA+U.

Results
Uncorrected energy = -140.7 eV per cell
Theoretical density = 6262 kg/m3
Space-group type = Im-3m, No. 229
Spin magnetization = 5.00 μB per formula unit

a = 7.382 Å, b = 7.382 Å, c = 7.382 Å
α = 109.47°, β = 109.47°, γ = 109.47°
Atoms (fractional coordinates):
Ba: 0.000 0.000 0.500
Ba: 0.000 0.500 0.000
Ba: 0.500 0.000 0.000
Ba: 0.500 0.500 0.500
La: 0.000 0.000 0.000
Mo: 0.000 0.500 0.500
Mo: 0.500 0.000 0.500
Mo: 0.500 0.500 0.000
O: 0.000 0.271 0.271
O: 0.000 0.729 0.729
O: 0.250 0.500 0.750
O: 0.250 0.750 0.500
O: 0.271 0.000 0.271
O: 0.271 0.271 0.000
O: 0.500 0.250 0.750
O: 0.500 0.750 0.250
O: 0.729 0.000 0.729
O: 0.729 0.729 0.000
O: 0.750 0.250 0.500
O: 0.750 0.500 0.250